Record 1
Li3ZnCd at its PBEsol-relaxed geometry. Source: Alexandria via LeMat-Bulk, functional meta-GGA SCAN.

Computed properties:
Magnetic moment = 0.00 Bohr magnetons per cell
Uncorrected energy = -50.418 eV/f.u.
Fermi-level density of states = 0.33 states/eV per atom
Density = 3.2 g cm⁻³
Formation energy from the elements = 0.7 eV per formula unit

Cell: 4.6760 4.6760 4.6760 Å, 90.00 90.00 90.00°
Closest atoms and distances in Å follow each position.
Sites, in units of the cell vectors:
Zn 0.0000 0.0000 0.0000  6 Li 2.34
Li 0.0000 0.5000 0.0000  2 Zn 2.34
Li 0.0000 0.0000 0.5000  2 Zn 2.34
Li 0.5000 0.0000 0.0000  2 Zn 2.34
Cd 0.5000 0.5000 0.5000  12 Li 3.31

Record 2
Li2RePd at its PBEsol-relaxed geometry. Source: Alexandria via LeMat-Bulk, functional meta-GGA SCAN.

Computed properties:
Magnetic moment = 2.61 Bohr magnetons per cell
Uncorrected energy = -106.390 eV/f.u.
Fermi-level density of states = 0.59 states/eV per atom
Density = 10.1 g cm⁻³
Formation energy from the elements = 2.3 eV per formula unit

Cell: 4.1507 4.1507 4.1507 Å, 60.00 60.00 60.00°
Closest atoms and distances in Å follow each position.
Sites, in units of the cell vectors:
Re 0.5000 0.5000 0.5000  8 Li 2.54
Pd 0.0000 0.0000 0.0000  8 Li 2.54
Li 0.2500 0.2500 0.2500  4 Re 2.54, 4 Pd 2.54
Li 0.7500 0.7500 0.7500  4 Pd 2.54, 4 Re 2.54

Record 3
La2P3H7O11 at its PBEsol-relaxed geometry. Source: Alexandria via LeMat-Bulk, functional meta-GGA SCAN.

Computed properties:
Magnetic moment = 0.00 Bohr magnetons per cell
Uncorrected energy = -259.867 eV/f.u.
Fermi-level density of states = 0.00 states/eV per atom
Density = 3.6 g cm⁻³

Cell: 8.1218 8.2949 9.3514 Å, 61.70 69.08 76.19°
Closest atoms and distances in Å follow each position.
Sites, in units of the cell vectors:
P 0.9814 0.1731 0.6642  1 H 1.42, 3 O 1.52-1.55
P 0.0186 0.8269 0.3358  1 H 1.42, 3 O 1.52-1.55
P 0.8321 0.4716 0.2633  1 H 1.41, 3 O 1.53-1.55
P 0.1679 0.5284 0.7367  1 H 1.41, 3 O 1.53-1.55
P 0.6260 0.7158 0.8983  1 H 1.41, 3 O 1.53-1.57
P 0.3740 0.2842 0.1017  1 H 1.41, 3 O 1.53-1.57
La 0.3940 0.4263 0.3646  7 O 2.38-2.59
La 0.1908 0.7774 0.9861  8 O 2.46-2.64
La 0.8092 0.2226 0.0139  8 O 2.46-2.64
La 0.6060 0.5737 0.6354  7 O 2.38-2.59
O 0.5084 0.7953 0.7742  1 P 1.57, 1 H 1.65
O 0.0065 0.9699 0.1580  1 P 1.54
O 0.2149 0.6741 0.7708  1 P 1.54
O 0.9019 0.6460 0.1066  1 P 1.53, 1 H 1.66
O 0.3375 0.4797 0.6144  1 P 1.55
O 0.5019 0.6665 0.0779  1 P 1.53
O 0.8401 0.7689 0.4634  1 P 1.52
O 0.6732 0.9330 0.1159  2 H 0.98-1.01
O 0.4396 0.8632 0.4533  2 H 0.99-1.01
O 0.3268 0.0670 0.8841  2 H 0.98-1.01
O 0.7851 0.3259 0.2292  1 P 1.54
O 0.5604 0.1368 0.5467  2 H 0.99-1.01
O 0.2537 0.4432 0.1336  1 P 1.53
O 0.1514 0.6683 0.3098  1 P 1.55
O 0.7463 0.5568 0.8664  1 P 1.53
O 0.4981 0.3335 0.9221  1 P 1.53
O 0.4916 0.2047 0.2258  1 P 1.57, 1 H 1.65
O 0.0981 0.3540 0.8934  1 P 1.53, 1 H 1.66
O 0.6625 0.5203 0.3856  1 P 1.55
O 0.8486 0.3317 0.6902  1 P 1.55
O 0.9935 0.0301 0.8420  1 P 1.54
O 0.1599 0.2311 0.5366  1 P 1.52
H 0.6740 0.1523 0.4561  1 O 0.99
H 0.5452 0.0015 0.6167  1 O 1.01
H 0.7300 0.8548 0.8556  1 P 1.41
H 0.5773 0.8812 0.2201  1 O 0.98
H 0.9045 0.0909 0.6027  1 P 1.42
H 0.3260 0.8477 0.5439  1 O 0.99
H 0.2424 0.1752 0.8919  1 O 1.01
H 0.4548 0.9985 0.3833  1 O 1.01
H 0.0364 0.6107 0.6513  1 P 1.41
H 0.9636 0.3893 0.3487  1 P 1.41
H 0.7576 0.8248 0.1081  1 O 1.01
H 0.2700 0.1452 0.1444  1 P 1.41
H 0.0955 0.9091 0.3973  1 P 1.42
H 0.4227 0.1188 0.7799  1 O 0.98

Record 4
MnInCo at its PBEsol-relaxed geometry. Source: Alexandria via LeMat-Bulk, functional meta-GGA SCAN.

Computed properties:
Magnetic moment = 5.02 Bohr magnetons per cell
Uncorrected energy = -68.317 eV/f.u.
Fermi-level density of states = 0.75 states/eV per atom
Density = 8.5 g cm⁻³
Formation energy from the elements = 0.6 eV per formula unit

Cell: 2.9006 2.9006 6.1386 Å, 90.00 90.00 120.00°
Closest atoms and distances in Å follow each position.
Sites, in units of the cell vectors:
Co 0.0000 0.0000 0.0223  3 Mn 2.40
In 0.3333 0.6667 0.6757  3 Co 2.71, 3 Mn 2.84, 6 In 2.90
Mn 0.6667 0.3333 0.3019  3 Co 2.40

Record 5
BaCa2Cd2 at its PBEsol-relaxed geometry. Source: Alexandria via LeMat-Bulk, functional meta-GGA SCAN.

Computed properties:
Magnetic moment = 0.00 Bohr magnetons per cell
Energy above the lowest structure with this stoichiometry = 0.63 eV per formula unit
Uncorrected energy = -120.490 eV/f.u.
Fermi-level density of states = 0.75 states/eV per atom
Density = 4.0 g cm⁻³
Formation energy from the elements = -0.8 eV per formula unit

Cell: 5.7332 5.7332 6.9320 Å, 114.43 114.43 90.00°
Closest atoms and distances in Å follow each position.
Sites, in units of the cell vectors:
Ca 0.3459 0.3459 0.6919  4 Cd 3.06
Ca 0.6541 0.6541 0.3081  4 Cd 3.06
Ba 0.0000 0.0000 0.0000  2 Ca 3.89, 8 Cd 4.02
Cd 0.2500 0.7500 0.5000  4 Ca 3.06
Cd 0.7500 0.2500 0.5000  4 Ca 3.06

Record 6
NaCaI2O at its PBEsol-relaxed geometry. Source: Alexandria via LeMat-Bulk, functional meta-GGA SCAN.

Computed properties:
Formation energy without anion corrections = -1313 meV per atom
Magnetic moment = 1.00 Bohr magnetons per cell
Uncorrected energy = -100.159 eV/f.u.
Fermi-level density of states = 0.86 states/eV per atom
Density = 3.4 g cm⁻³

Cell: 4.3039 6.1313 6.1313 Å, 90.00 90.00 90.00°
Closest atoms and distances in Å follow each position.
Sites, in units of the cell vectors:
I 0.0000 0.0000 0.5000  2 Ca 3.07
I 0.0000 0.5000 0.0000  2 Ca 3.07
Na 0.5000 0.5000 0.5000  8 I 3.75
Ca 0.0000 0.0000 0.0000  2 O 2.15
O 0.5000 0.0000 0.0000  2 Ca 2.15

> Which of these has the lowest Fermi-level density of states?

La2P3H7O11

> Look up the density of the first one.

3.2 g cm⁻³

> Which of these has the highest Fermi-level density of states?

NaCaI2O